(1)
LaEr2Lu: optimized geometry, PBE.

Results
* crystal system: trigonal
* magnetization: 0.00 μB per formula unit
* distance to the lowest polymorph of the same formula: 0.0000 eV per atom

a = 11.742 Å, b = 11.742 Å, c = 11.742 Å
α = 17.45°, β = 17.45°, γ = 17.45°
Atoms (fractional coordinates):
La: 0.000 0.000 0.000
Er: 0.247 0.247 0.247
Er: 0.753 0.753 0.753
Lu: 0.500 0.500 0.500

=====

(2)
LaErLu2: optimized geometry, PBE.

Results
* crystal system: trigonal
* magnetization: 0.00 μB per formula unit
* distance to the lowest polymorph of the same formula: 0.0000 eV per atom

a = 11.647 Å, b = 11.647 Å, c = 11.647 Å
α = 17.54°, β = 17.54°, γ = 17.54°
Atoms (fractional coordinates):
La: 0.000 0.000 0.000
Er: 0.500 0.500 0.500
Lu: 0.248 0.248 0.248
Lu: 0.752 0.752 0.752

=====

(3)
LaEr2Lu: optimized geometry, PBE.

Results
* crystal system: tetragonal
* magnetization: 0.00 μB per formula unit
* distance to the lowest polymorph of the same formula: 0.0671 eV per atom

a = 3.969 Å, b = 3.969 Å, c = 8.292 Å
α = 90.00°, β = 90.00°, γ = 90.00°
Atoms (fractional coordinates):
La: 0.000 0.000 0.000
Er: 0.500 0.500 0.275
Er: 0.500 0.500 0.725
Lu: 0.000 0.000 0.500

=====

(4)
LaErLuPb: optimized geometry, PBE.

Results
* DFT total energy: -4.564 eV per atom
* crystal system: cubic
* magnetization: 0.01 μB per formula unit

a = 5.545 Å, b = 5.545 Å, c = 5.545 Å
α = 60.00°, β = 60.00°, γ = 60.00°
Atoms (fractional coordinates):
La: 0.000 0.000 0.000
Er: 0.500 0.500 0.500
Lu: 0.250 0.250 0.250
Pb: 0.750 0.750 0.750